First-principles (PBE) data for a geometry-optimized CaReIr structure, as listed in Alexandria via LeMat-Bulk.

a = 5.6912 Å, b = 5.4016 Å, c = 5.1085 Å
α = 118.26°, β = 90.05°, γ = 58.23°
With the nearest neighbours (Å) after each atom.
Atoms (fractional coordinates):
Ir 0.3691 0.0313 0.1619  4 Re 2.70, 2 Ir 2.85
Re 0.8690 0.5315 0.6622  2 Re 2.55, 4 Ir 2.70
Re 0.8692 0.5312 0.1621  2 Re 2.55, 4 Ir 2.70
Ir 0.8691 0.0313 0.1621  4 Re 2.70, 2 Ir 2.85
Ca 0.2452 0.7791 0.5359  6 Ir 3.08-3.19, 6 Re 3.14-3.26, 4 Ca 3.18-3.44
Ca 0.4930 0.2835 0.7881  6 Ir 3.08-3.19, 6 Re 3.14-3.26, 4 Ca 3.18-3.44

Results
As for the mass density: 12.53 g cm⁻³. For the excess energy over the best structure of this formula in the dataset, the calculation gives 0.0 meV per atom. The calculation puts the density of states at the Fermi level at 4.7 states/eV/cell. The energy of formation comes out at -0.14 eV per atom.